Material: CsInN2
Method: DFT, meta-GGA SCAN
State: PBEsol geometry

a = 5.2203 Å, b = 5.2203 Å, c = 12.8400 Å
α = 90.00°, β = 90.00°, γ = 90.00°
Closest atoms and distances in Å follow each position.
Space group I-42d (No. 122)
Asymmetric unit:
Cs 0.0000 0.0000 0.0000  4 N 3.07
In 0.0000 0.0000 0.5000  4 N 2.10
N 0.0654 0.2500 0.6250  2 In 2.10

Calculated values
The calculation puts the total energy at -346.14 eV per cell. The value obtained for the density of states at the Fermi level is 0.334 states/eV per atom. The value obtained for the formation energy without anion corrections is 0.8114 eV per atom.